[1]
Compound: K2Rb6As
Source: Alexandria
Functional: PBE
Structure: relaxed

The density of states at the Fermi level is 9.31 states/eV per cell. The total energy comes out at -1.492 eV/atom. Its formation energy is -0.086 eV/atom.

It has space group Amm2 (No. 38), with a = 5.441 Å, b = 20.988 Å, c = 11.042 Å, α = 90.00°, β = 90.00° and γ = 90.00°. The inequivalent atoms are K at (0.000, 0.182, 0.000), Rb at (0.000, 0.000, 0.712), Rb at (0.000, 0.096, 0.384), Rb at (0.500, 0.000, 0.133), Rb at (0.500, 0.155, 0.660) and As at (0.500, 0.000, 0.493).


[2]
Compound: Zr4PdRh7
Source: Alexandria
Functional: PBE
Structure: relaxed

The density of states at the Fermi level is 21.84 states/eV per cell. The total energy comes out at -7.865 eV/atom. Its formation energy is -0.295 eV/atom.

It has space group C2/m (No. 12), with a = 10.862 Å, b = 4.795 Å, c = 9.602 Å, α = 90.00°, β = 119.47° and γ = 90.00°. The inequivalent atoms are Zr at (0.091, 0.000, 0.280), Zr at (0.249, 0.500, 0.164), Pd at (0.000, 0.500, 0.500), Rh at (0.000, 0.000, 0.500), Rh at (0.078, 0.500, 0.820), Rh at (0.131, 0.000, 0.025) and Rh at (0.208, 0.500, 0.407).


[3]
Compound: Ca4C5
Source: Alexandria
Functional: PBE
Structure: relaxed

Its energy above the most stable polymorph in this dataset is 0.00 eV/f.u. The density of states at the Fermi level is 9.00 states/eV per cell. The total energy comes out at -5.393 eV/atom. Its formation energy is 0.620 eV/atom.

It has space group I4/mmm (No. 139), with a = 10.076 Å, b = 10.076 Å, c = 2.751 Å, α = 90.00°, β = 90.00° and γ = 90.00°. The inequivalent atoms are Ca at (0.000, 0.232, 0.000), C at (0.000, 0.000, 0.000) and C at (0.229, 0.229, 0.500).


[4]
Compound: TeRhPbO6
Source: Alexandria
Functional: PBE
Structure: relaxed

The density of states at the Fermi level is 11.95 states/eV per cell. The total energy comes out at -5.863 eV/atom.

It has space group P-31c (No. 163), with a = 5.2999 Å, b = 5.2999 Å, c = 10.7505 Å, α = 90.00°, β = 90.00° and γ = 120.00°. The inequivalent atoms are Te at (0.3333, 0.6667, 0.2500), Rh at (0.3333, 0.6667, 0.7500), Pb at (0.0000, 0.0000, 0.0000) and O at (0.0054, 0.3785, 0.1469).


| no. | total magnetization (μB per cell) |
| --- | --- |
| 1 | 0.0 |
| 2 | 0.7 |
| 3 | 0.6 |
| 4 | 1.8 |